[1]
The following is a DFT calculation (PBE) of a geometry-optimized Be2HS structure.

```
Be2HS
1.0
3.755 0.000 0.000
-1.789 5.111 0.000
-1.623 -1.604 4.912
Be H S
4 2 2
direct
0.000 0.000 0.000
0.039 0.815 0.559
0.249 0.721 0.943
0.614 0.189 0.003
0.007 0.579 0.658
0.993 0.204 0.202
0.658 0.030 0.631
0.738 0.619 0.111
```

DFT total energy, eV per atom: -4.0493
DOS(E_F), states/eV per cell: 0.00
Size of the total moment, μB/f.u.: 0.0

[2]
The following is a DFT calculation (PBE) of a geometry-optimized Be2HS structure.

```
Be2HS
1.0
3.570 0.000 0.000
-0.802 4.735 0.000
-0.838 -1.078 5.555
Be H S
4 2 2
direct
0.000 0.000 0.000
0.039 0.036 0.508
0.584 0.868 0.647
0.635 0.598 0.297
0.429 0.105 0.603
0.932 0.109 0.762
0.070 0.339 0.285
0.440 0.748 0.957
```

DFT total energy, eV per atom: -4.0307
DOS(E_F), states/eV per cell: 0.00
Size of the total moment, μB/f.u.: 0.0

[3]
The following is a DFT calculation (PBE) of a geometry-optimized Be2HS structure.

```
Be2HS
1.0
3.906 0.000 0.000
0.000 3.906 0.000
0.000 0.000 10.900
Be H S
8 4 4
direct
0.180 0.250 0.125
0.250 0.680 0.375
0.250 0.820 0.875
0.320 0.250 0.625
0.680 0.750 0.625
0.750 0.180 0.875
0.750 0.320 0.375
0.820 0.750 0.125
0.000 0.000 0.000
0.000 0.500 0.250
0.500 0.000 0.750
0.500 0.500 0.500
0.000 0.000 0.500
0.000 0.500 0.750
0.500 0.000 0.250
0.500 0.500 0.000
```

DFT total energy, eV per atom: -3.7718
DOS(E_F), states/eV per cell: 0.48
Size of the total moment, μB/f.u.: 0.0

[4]
The following is a DFT calculation (PBE) of a geometry-optimized Be2HS structure.

```
Be2HS
1.0
3.358 0.000 0.000
-0.202 4.440 0.000
-0.925 -1.265 6.150
Be H S
4 2 2
direct
0.000 0.000 0.000
0.033 0.322 0.278
0.325 0.869 0.549
0.918 0.418 0.878
0.158 0.007 0.218
0.290 0.600 0.370
0.433 0.733 0.852
0.840 0.152 0.552
```

DFT total energy, eV per atom: -3.9670
Size of the total moment, μB/f.u.: 0.0